Compound: TaCrBr2
Source: Alexandria via LeMat-Bulk
Functional: SCAN
Structure: PBEsol geometry

Computed properties:
Formation energy without anion corrections   -0.01 eV per atom
E above lowest polymorph   0.000 eV/atom

Cell: 3.102 3.102 8.277 Å, 90.00 90.00 90.00°
Each line ends with the local moment (μB).
Positions (direct):
Ta 0.500 0.500 0.738  -0.30
Br 0.000 0.000 0.935  0.03
Br 0.500 0.500 0.314  0.01
Cr 0.000 0.000 0.513  3.42

---

Compound: Y2NiPdSe
Source: Alexandria via LeMat-Bulk
Functional: SCAN
Structure: PBEsol geometry

Computed properties:
Formation energy without anion corrections   -0.50 eV per atom

Cell: 4.441 5.071 5.071 Å, 90.00 90.00 90.00°
Positions (direct):
Ni 0.000 0.000 0.000
Y 0.000 0.500 0.000
Y 0.000 0.000 0.500
Pd 0.500 0.000 0.000
Se 0.500 0.500 0.500

---

Compound: YPO4
Source: Alexandria via LeMat-Bulk
Functional: SCAN
Structure: PBEsol geometry

Computed properties:
Formation energy without anion corrections   -3.33 eV per atom

Cell: 6.222 6.854 6.854 Å, 120.00 90.00 90.00°
Positions (direct):
O 0.513 0.443 0.141
O 0.487 0.141 0.443
Y 0.500 0.500 0.500
Y 0.833 0.000 0.500
O 0.846 0.698 0.557
P 0.667 0.500 0.000
O 0.180 0.859 0.302
O 0.154 0.443 0.302
O 0.154 0.557 0.698
P 0.000 0.500 0.500
Y 0.167 0.500 0.000
O 0.487 0.859 0.557
O 0.820 0.698 0.141
O 0.846 0.302 0.443
P 0.333 0.000 0.500
O 0.180 0.141 0.698
O 0.820 0.302 0.859
O 0.513 0.557 0.859

---

Compound: NbGaF2
Source: Alexandria via LeMat-Bulk
Functional: SCAN
Structure: PBEsol geometry

Computed properties:
Formation energy without anion corrections   -1.63 eV per atom

Cell: 2.797 2.797 9.924 Å, 81.90 81.90 60.00°
Positions (direct):
Ga 0.000 0.000 0.000
F 0.115 0.115 0.654
Nb 0.500 0.500 0.500
F 0.885 0.885 0.346